MnFe2W: optimized geometry, PBE-GGA.

Summary:
**Formation energy from the elements**: 162 meV per atom
**N(E_F)**: 3.68 states/eV/f.u.
**Distance to the lowest polymorph of the same formula**: 120 meV/atom
**Total DFT energy (no corrections)**: -9.6000 eV/atom
**Density**: 11.62 g/cm³

Unit cell a=2.6215 b=2.6215 c=7.2869 alpha=90.00 beta=90.00 gamma=90.00
Fractional positions:
1 Mn 0.0000 0.0000 0.0000
2 Fe 0.0000 0.0000 0.5436
3 Fe 0.5000 0.5000 0.7737
4 W 0.5000 0.5000 0.2793